Entry 1:
# BaMg2Tl3 | the Alexandria database | PBE-GGA | optimized geometry
data_BaMg2Tl3
_cell_length_a 5.0498
_cell_length_b 5.0498
_cell_length_c 16.6916
_cell_angle_alpha 90.00
_cell_angle_beta 90.00
_cell_angle_gamma 120.00
_space_group_name_H-M_alt 'P 63/m m c'
_space_group_IT_number 194
_space_group_name_Hall '-P 6c 2c'
loop_
_atom_site_label
_atom_site_type_symbol
_atom_site_fract_x
_atom_site_fract_y
_atom_site_fract_z
Ba1 Ba 0.0000 0.0000 0.2500
Mg1 Mg 0.3333 0.6667 0.0695
Tl1 Tl 0.0000 0.0000 0.0000
Tl2 Tl 0.3333 0.6667 0.6268
# Magnetic moment, μB per formula unit: 0.00
# DOS at the Fermi energy, states/eV per atom: 0.5984
# Energy relative to the lowest polymorph listed for this composition, meV per atom: 0.0
# Energy, eV per cell: -26.77

Entry 2:
# Ac2CdIn6Cu | the Alexandria database | PBE-GGA | optimized geometry
data_Ac2CdIn6Cu
_cell_length_a 7.0880
_cell_length_b 7.0880
_cell_length_c 38.9033
_cell_angle_alpha 90.00
_cell_angle_beta 90.00
_cell_angle_gamma 120.00
_space_group_name_H-M_alt 'R -3 m'
_space_group_IT_number 166
_space_group_name_Hall '-R 3 2"'
loop_
_atom_site_label
_atom_site_type_symbol
_atom_site_fract_x
_atom_site_fract_y
_atom_site_fract_z
Ac1 Ac 0.0000 0.0000 0.1066
Ac2 Ac 0.0000 0.0000 0.2801
Cd1 Cd 0.0000 0.0000 0.4263
In1 In 0.0356 0.5178 0.3007
In2 In 0.0558 0.5279 0.8633
Cu1 Cu 0.0000 0.0000 0.0000
Cu2 Cu 0.0000 0.0000 0.5000
# Magnetic moment, μB per formula unit: 0.00
# DOS at the Fermi energy, states/eV per atom: 0.5773
# Energy, eV per cell: -189.76

Entry 3:
# La2PmPr4Cd2 | the Alexandria database | PBE-GGA | optimized geometry
data_La2PmPr4Cd2
_cell_length_a 6.386
_cell_length_b 6.893
_cell_length_c 8.437
_cell_angle_alpha 67.09
_cell_angle_beta 80.91
_cell_angle_gamma 62.62
_space_group_name_H-M_alt 'P -1'
_space_group_IT_number 2
_space_group_name_Hall '-P 1'
loop_
_atom_site_label
_atom_site_type_symbol
_atom_site_fract_x
_atom_site_fract_y
_atom_site_fract_z
La1 La 0.196 0.014 0.329
Pm1 Pm 0.000 0.500 0.500
Pr1 Pr 0.301 0.967 0.881
Pr2 Pr 0.402 0.517 0.727
Cd1 Cd 0.131 0.551 0.093
# Magnetic moment, μB per formula unit: 0.00
# DOS at the Fermi energy, states/eV per atom: 1.3735
# Energy, eV per cell: -36.01